Pa4CSe2S | GGA-PBE | optimized geometry

a b c (Å): 6.630 3.730 7.166
angles (deg): 90.00 107.02 90.00
Sites, in units of the cell vectors:
1 Pa 0.219 0.000 0.209
2 Pa 0.243 0.500 0.779
3 Pa 0.757 0.500 0.221
4 Pa 0.781 0.000 0.791
5 C 0.000 0.500 0.000
6 Se 0.000 0.000 0.500
7 Se 0.500 0.500 0.500
8 S 0.500 0.000 0.000

Calculated values
Density (g cm⁻³): 11.03
Volume (Å³/f.u.): 169.5
Electronic total energy (eV per atom): -8.437
Energy relative to the elements, uncorrected (eV/atom): -1.149
M_tot (μB per cell): 0.00